w | PBE TaV2Ag, optimized geometry; SG = I-42d; M_tot = 0.0000 μB per atom
1.0
3.8168 0.0000 0.0000
0.0000 3.8168 0.0000
0.0000 0.0000 18.8121
Ta V Ag
4 8 4
Direct
0.0000 0.0000 0.0000
0.0000 0.5000 0.2500
0.5000 0.0000 0.7500
0.5000 0.5000 0.5000
0.2291 0.2500 0.1250
0.2500 0.7291 0.3750
0.2500 0.7709 0.8750
0.2709 0.2500 0.6250
0.7291 0.7500 0.6250
0.7500 0.2291 0.8750
0.7500 0.2709 0.3750
0.7709 0.7500 0.1250
0.0000 0.0000 0.5000
0.0000 0.5000 0.7500
0.5000 0.0000 0.2500
0.5000 0.5000 0.0000

x | PBE TaV2Ag, optimized geometry; SG = Fm-3m; M_tot = 0.0000 μB per atom
1.0
6.3083 0.0000 0.0000
0.0000 6.3083 0.0000
0.0000 0.0000 6.3083
Ta V Ag
4 8 4
Direct
0.0000 0.0000 0.0000
0.0000 0.5000 0.5000
0.5000 0.0000 0.5000
0.5000 0.5000 0.0000
0.2500 0.2500 0.2500
0.2500 0.2500 0.7500
0.2500 0.7500 0.2500
0.2500 0.7500 0.7500
0.7500 0.2500 0.2500
0.7500 0.2500 0.7500
0.7500 0.7500 0.2500
0.7500 0.7500 0.7500
0.0000 0.0000 0.5000
0.0000 0.5000 0.0000
0.5000 0.0000 0.0000
0.5000 0.5000 0.5000

Which of them is the most stable? Correct choice: x.